Below is crystalline TcAsF2 at its relaxed geometry, with properties calculated at the PBE level.

abc: 6.008 6.008 6.008
angles: 90.00 90.00 90.00
Space group Fm-3m (No. 225)
Inequivalent atoms, fractional coordinates:
Tc 0.000 0.000 0.000 x4
As 0.000 0.000 0.500 x4
F 0.250 0.250 0.250 x8

Properties
VASP energy	-4.8667	eV per atom

---

Below is crystalline Li2CeIO6 at its relaxed geometry, with properties calculated at the PBE level.

abc: 5.2960 5.2960 15.6249
angles: 90.00 90.00 120.00
Space group R-3 (No. 148, hexagonal axes)
Inequivalent atoms, fractional coordinates:
Li 0.0000 0.0000 0.1997 x6
Ce 0.0000 0.0000 0.0000 x3
I 0.0000 0.0000 0.5000 x3
O 0.0103 0.6400 0.2381 x18

Properties
VASP energy	-5.8435	eV per atom